DFT (PBE-GGA) results for a relaxed structure of BaCr2SiN.

Geometry as POSCAR:
```
BaCr2SiN
1.0
4.328 0.000 0.000
0.000 4.328 0.000
0.000 0.000 6.308
Ba Cr Si N
1 2 1 1
Cartesian
0.000 0.000 0.000
0.000 2.164 3.154
2.164 0.000 3.154
0.000 0.000 3.154
2.164 2.164 0.000
```

## Properties
space group = P4/mmm (123)
total moment = 0.0 μB per formula unit
E_form (uncorrected) = 1712 meV/atom

=====

DFT (PBE-GGA) results for a relaxed structure of Pr2Y8Th3.

Geometry as POSCAR:
```
Pr2Y8Th3
1.0
10.227 -3.952 0.000
10.227 3.952 0.000
-0.006 0.000 5.598
Pr Y Th
2 8 3
Cartesian
4.882 0.000 2.790
15.566 0.000 2.808
2.535 0.000 5.596
8.088 1.620 2.796
6.852 0.000 5.592
12.359 1.620 2.802
8.088 -1.620 2.796
13.595 0.000 0.007
12.359 -1.620 2.802
17.912 0.000 0.002
-0.003 0.000 2.799
10.227 1.600 0.000
10.227 -1.600 0.000
```

## Properties
space group = C2/m (12)
energy relative to the elements = 271 meV/atom
total moment = 0.0 μB per formula unit

=====

DFT (PBE-GGA) results for a relaxed structure of DyAl2Pt.

Geometry as POSCAR:
```
DyAl2Pt
1.0
15.809 0.000 0.000
0.000 6.944 0.000
0.000 0.000 5.570
Dy Al Pt
8 16 8
Cartesian
1.676 1.736 1.333
2.268 5.208 2.639
5.637 1.736 5.424
6.228 5.208 4.118
9.581 1.736 1.452
10.172 5.208 0.146
13.541 1.736 2.931
14.132 5.208 4.237
0.564 0.373 4.171
0.564 3.099 4.171
3.360 3.858 5.363
3.360 6.559 5.363
4.545 0.386 2.577
4.545 3.087 2.577
7.340 3.845 1.386
7.340 6.571 1.386
8.469 0.373 4.184
8.469 3.099 4.184
11.264 3.858 2.993
11.264 6.559 2.993
12.449 0.386 0.208
12.449 3.087 0.208
15.244 3.845 1.399
15.244 6.571 1.399
1.133 5.208 5.526
2.800 1.736 4.022
5.104 5.208 1.237
6.772 1.736 2.741
9.037 5.208 2.829
10.705 1.736 4.333
13.008 5.208 1.548
14.676 1.736 0.044
```

## Properties
space group = Pnma (62)
energy relative to the elements = -968 meV/atom
total moment = 0.0 μB per formula unit

=====

DFT (PBE-GGA) results for a relaxed structure of DyThSc.

Geometry as POSCAR:
```
DyThSc
1.0
14.745 0.000 0.000
0.000 3.531 0.000
-1.685 0.000 6.780
Dy Th Sc
4 4 4
Cartesian
2.247 0.000 0.556
3.441 1.766 6.225
9.619 1.766 0.556
10.814 0.000 6.225
1.445 0.000 3.944
4.243 1.766 2.836
8.818 1.766 3.944
11.615 0.000 2.836
-0.418 1.766 1.767
6.106 0.000 5.014
6.955 0.000 1.767
13.478 1.766 5.014
```

## Properties
space group = C2/m (12)
energy relative to the elements = 42 meV/atom
energy above the lowest structure with this stoichiometry = 0.00 eV per formula unit
total moment = 0.0 μB per formula unit

=====

DFT (PBE-GGA) results for a relaxed structure of Pr4Sb2TeAs.

Geometry as POSCAR:
```
Pr4Sb2TeAs
1.0
7.764 0.000 0.000
0.000 4.489 0.000
-2.583 0.000 7.356
Pr Sb Te As
4 2 1 1
Cartesian
1.261 0.000 1.743
-0.034 2.244 5.599
5.215 2.244 1.758
3.920 0.000 5.614
3.882 0.000 0.000
2.591 2.244 3.678
-1.292 0.000 3.678
0.000 2.244 0.000
```

## Properties
space group = P2/m (10)
total moment = 0.0 μB per formula unit
E_form (uncorrected) = -1355 meV/atom

=====

DFT (PBE-GGA) results for a relaxed structure of RbTiS2.

Geometry as POSCAR:
```
RbTiS2
1.0
4.715 0.000 0.000
0.000 21.830 0.000
0.000 0.000 4.820
Rb Ti S
4 4 8
Cartesian
0.000 3.794 1.205
0.000 18.036 3.615
2.358 7.121 3.615
2.358 14.709 1.205
0.000 9.513 1.205
0.000 12.317 3.615
2.358 1.402 3.615
2.358 20.427 1.205
0.000 7.275 1.205
0.000 9.817 3.615
0.000 12.013 1.205
0.000 14.555 3.615
2.358 1.098 1.205
2.358 3.640 3.615
2.358 18.190 1.205
2.358 20.732 3.615
```

## Properties
space group = Cmcm (63)
total moment = 1.0 μB per formula unit
E_form (uncorrected) = -1028 meV/atom

=====

DFT (PBE-GGA) results for a relaxed structure of BeAg2Au6.

Geometry as POSCAR:
```
BeAg2Au6
1.0
7.624 0.000 0.000
-3.812 6.602 0.000
0.000 0.000 3.066
Be Ag Au
1 2 6
Cartesian
0.000 0.000 0.000
0.000 4.402 1.533
3.812 2.201 1.533
-1.407 2.437 0.000
-2.844 4.925 1.533
0.968 1.677 1.533
2.814 0.000 0.000
2.405 4.165 0.000
5.687 0.000 1.533
```

## Properties
space group = P-62m (189)
energy relative to the elements = -15 meV/atom
energy above the lowest structure with this stoichiometry = 0.00 eV per formula unit
total moment = 0.0 μB per formula unit

=====

DFT (PBE-GGA) results for a relaxed structure of CsTlBi3.

Geometry as POSCAR:
```
CsTlBi3
1.0
6.040 0.000 0.000
0.000 6.040 0.000
0.000 0.000 6.040
Cs Tl Bi
1 1 3
Cartesian
0.000 0.000 0.000
3.020 3.020 3.020
0.000 3.020 3.020
3.020 0.000 3.020
3.020 3.020 0.000
```

## Properties
space group = Pm-3m (221)
energy relative to the elements = 304 meV/atom
energy above the lowest structure with this stoichiometry = 0.00 eV per formula unit
total moment = 0.0 μB per formula unit

=====

Which of these has the highest total moment? RbTiS2

=====

Number 1 is which compound? BaCr2SiN